## VCuS2F (PBE+U)

Data for an optimized crystal structure of VCuS2F.

Results
- E (eV for the cell shown) = -23.999
- total magnetization (μB per atom) = 0.213
- Fermi-level density of states (states/eV/f.u.) = 3.27

a b c (Å): 4.7341 4.7341 3.7941
angles (deg): 90.00 90.00 90.00
With the nearest neighbours (Å) after each atom.
Space group P4/mmm (No. 123)
Inequivalent atoms, fractional coordinates:
V (0.0000, 0.0000, 0.0000)  2 F 1.90
Cu (0.5000, 0.5000, 0.5000)  8 S 3.03, 4 F 3.35
S (0.0000, 0.5000, 0.0000)  2 V 2.37
F (0.0000, 0.0000, 0.5000)  2 V 1.90